# 1
First-principles (PBE) data for crystalline Zr4Ag2N at its relaxed geometry, as listed in Alexandria.

a b c (Å): 4.4836 4.4836 7.6168
angles (deg): 72.88 72.88 90.00
Closest atoms and distances in Å follow each position.
Positions (direct):
Zr (0.5000, 0.0000, 0.0000)  2 N 2.24
N (0.0000, 0.0000, 0.0000)  6 Zr 2.24-2.31
Ag (0.3651, 0.3651, 0.2698)  5 Zr 2.75-2.92
Zr (0.0000, 0.5000, 0.0000)  2 N 2.24
Ag (0.6349, 0.6349, 0.7302)  5 Zr 2.75-2.92
Zr (0.8336, 0.8336, 0.3328)  1 N 2.31
Zr (0.1664, 0.1664, 0.6672)  1 N 2.31

Results
**Density**: 7.09 g/cm³
**Raw formation energy**: -379 meV/atom
**Magnetic moment**: 0.00 μB/f.u.
**Crystal system**: tetragonal

---

# 2
First-principles (PBE) data for crystalline TiB3Ir at its relaxed geometry, as listed in Alexandria.

a b c (Å): 4.0273 4.0273 4.0273
angles (deg): 90.00 90.00 90.00
Closest atoms and distances in Å follow each position.
Positions (direct):
Ir (0.0000, 0.0000, 0.0000)  6 B 2.01
B (0.5000, 0.0000, 0.0000)  2 Ir 2.01
B (0.0000, 0.0000, 0.5000)  2 Ir 2.01
B (0.0000, 0.5000, 0.0000)  2 Ir 2.01
Ti (0.5000, 0.5000, 0.5000)  12 B 2.85

Results
**Density**: 6.93 g/cm³
**Magnetic moment**: 0.00 μB/f.u.
**Crystal system**: cubic
**Relative energy among the computed polymorphs**: 0.000 eV/atom

---

# 3
First-principles (PBE) data for crystalline K2GeI4 at its relaxed geometry, as listed in Alexandria.

a b c (Å): 4.5482 9.6806 9.2349
angles (deg): 131.24 104.26 90.00
Closest atoms and distances in Å follow each position.
Positions (direct):
I (0.9455, 0.2349, 0.8910)  1 Ge 3.02
K (0.3517, 0.3822, 0.7034)  7 I 3.63-3.71
I (0.3474, 0.7567, 0.6947)  2 Ge 3.07
I (0.0545, 0.7651, 0.1090)  1 Ge 3.02
I (0.6526, 0.2433, 0.3053)  2 Ge 3.07
Ge (0.0000, 0.0000, 0.0000)  6 I 3.02-3.07
K (0.6483, 0.6178, 0.2966)  7 I 3.63-3.71

Results
**Density**: 3.78 g/cm³
**Raw formation energy**: -947 meV/atom
**Magnetic moment**: 0.00 μB/f.u.
**Crystal system**: monoclinic
**Relative energy among the computed polymorphs**: 0.000 eV/atom